Here is a relaxed structure of NaRh2N2 from Alexandria. Energies are from PBE-GGA.

Results
V = 73 Å³/f.u.
Density of states at the Fermi level = 0.677 states/eV per atom
M_tot = 0.000 μB/cell
E_form (uncorrected) = 443.3 meV/atom
Energy above the most stable polymorph in this dataset = 0.0 meV/atom

abc: 3.6790 3.6790 10.7978
angles: 90.00 90.00 90.00
Fractional coordinates of all 10 atoms:
Na  0.0000  0.0000  0.0000
Na  0.5000  0.5000  0.5000
Rh  0.0000  0.5000  0.2500
Rh  0.0000  0.5000  0.7500
Rh  0.5000  0.0000  0.2500
Rh  0.5000  0.0000  0.7500
N  0.0000  0.0000  0.3475
N  0.0000  0.0000  0.6525
N  0.5000  0.5000  0.1525
N  0.5000  0.5000  0.8475

=====

Here is a relaxed structure of InNiSe2 from Alexandria. Energies are from PBE-GGA.

Results
V = 82 Å³/f.u.
Density of states at the Fermi level = 0.703 states/eV per atom
M_tot = 0.001 μB/cell
E_form (uncorrected) = -242.3 meV/atom

abc: 3.6882 3.6882 20.8528
angles: 90.00 90.00 120.00
Fractional coordinates of all 12 atoms:
In  0.0000  0.0000  0.0000
In  0.3333  0.6667  0.6667
In  0.6667  0.3333  0.3333
Ni  0.0000  0.0000  0.1668
Ni  0.3333  0.6667  0.8335
Ni  0.6667  0.3333  0.5002
Se  0.0000  0.0000  0.5599
Se  0.0000  0.0000  0.7725
Se  0.3333  0.6667  0.2266
Se  0.3333  0.6667  0.4392
Se  0.6667  0.3333  0.1059
Se  0.6667  0.3333  0.8933

=====

Here is a relaxed structure of LaHoHg2 from Alexandria. Energies are from PBE-GGA.

Results
V = 110 Å³/f.u.
Formation energy = -0.491 eV per atom
Density of states at the Fermi level = 0.934 states/eV per atom
M_tot = 0.500 μB/cell

abc: 3.7451 3.7451 7.8565
angles: 90.00 90.00 90.00
Fractional coordinates of all 4 atoms:
La  0.0000  0.0000  0.0000
Ho  0.0000  0.0000  0.5000
Hg  0.5000  0.5000  0.2765
Hg  0.5000  0.5000  0.7235

=====

Here is a relaxed structure of Cu2Sn8Pt from Alexandria. Energies are from PBE-GGA.

Results
V = 276 Å³/f.u.
Formation energy = -0.045 eV per atom
Density of states at the Fermi level = 0.382 states/eV per atom
M_tot = 0.000 μB/cell

abc: 6.6869 6.6869 6.3812
angles: 97.81 97.81 79.18
Fractional coordinates of all 11 atoms:
Cu  0.1130  0.1130  0.4424
Cu  0.8870  0.8870  0.5576
Sn  0.1781  0.7102  0.2604
Sn  0.2638  0.2638  0.1386
Sn  0.2898  0.8219  0.7396
Sn  0.3446  0.3446  0.6947
Sn  0.6554  0.6554  0.3053
Sn  0.7102  0.1781  0.2604
Sn  0.7362  0.7362  0.8614
Sn  0.8219  0.2898  0.7396
Pt  0.0000  0.0000  0.0000

=====

Here is a relaxed structure of CuTcW2 from Alexandria. Energies are from PBE-GGA.

Results
V = 59 Å³/f.u.
Formation energy = 0.296 eV per atom
Density of states at the Fermi level = 0.924 states/eV per atom
M_tot = 0.000 μB/cell
Energy above the most stable polymorph in this dataset = 98.7 meV/atom

abc: 3.9037 3.9037 7.8034
angles: 90.00 90.00 90.00
Fractional coordinates of all 8 atoms:
Cu  0.0000  0.0000  0.0000
Cu  0.5000  0.5000  0.5000
Tc  0.0000  0.5000  0.7500
Tc  0.5000  0.0000  0.2500
W  0.0000  0.0000  0.5000
W  0.0000  0.5000  0.2500
W  0.5000  0.0000  0.7500
W  0.5000  0.5000  0.0000

=====

Here is a relaxed structure of BaCdPb2Au4 from Alexandria. Energies are from PBE-GGA.

Results
V = 209 Å³/f.u.
Formation energy = -0.302 eV per atom
Density of states at the Fermi level = 0.194 states/eV per atom
M_tot = 0.000 μB/cell

abc: 10.5247 10.5247 10.5247
angles: 26.77 26.77 26.77
Fractional coordinates of all 8 atoms:
Ba  0.0000  0.0000  0.0000
Cd  0.5000  0.5000  0.5000
Pb  0.2411  0.2411  0.2411
Pb  0.7589  0.7589  0.7589
Au  0.1417  0.1417  0.1417
Au  0.3982  0.3982  0.3982
Au  0.6018  0.6018  0.6018
Au  0.8583  0.8583  0.8583

=====

Here is a relaxed structure of HoCO4 from Alexandria. Energies are from PBE-GGA.

Results
V = 77 Å³/f.u.
M_tot = 4.002 μB/cell
E_form (uncorrected) = -2022.4 meV/atom
Energy above the most stable polymorph in this dataset = 39.1 meV/atom

abc: 4.7907 7.1959 8.9576
angles: 90.00 90.00 90.00
Fractional coordinates of all 24 atoms:
Ho  0.0331  0.1403  0.1689
Ho  0.4669  0.8597  0.6689
Ho  0.5331  0.3597  0.8311
Ho  0.9669  0.6403  0.3311
C  0.0180  0.0383  0.8399
C  0.4820  0.9617  0.3399
C  0.5180  0.4617  0.1601
C  0.9820  0.5383  0.6601
O  0.0261  0.8332  0.1444
O  0.0473  0.4306  0.7680
O  0.1608  0.6218  0.5745
O  0.2158  0.9360  0.3686
O  0.2842  0.0640  0.8686
O  0.3392  0.3782  0.0745
O  0.4527  0.5694  0.2680
O  0.4739  0.1668  0.6444
O  0.5261  0.6668  0.8556
O  0.5473  0.0694  0.2320
O  0.6608  0.8782  0.4255
O  0.7158  0.5640  0.6314
O  0.7842  0.4360  0.1314
O  0.8392  0.1218  0.9255
O  0.9527  0.9306  0.7320
O  0.9739  0.3332  0.3556

=====

Here is a relaxed structure of Rb3Dy2USe6 from Alexandria. Energies are from PBE-GGA.

Results
V = 379 Å³/f.u.
Density of states at the Fermi level = 0.849 states/eV per atom
M_tot = 3.002 μB/cell
E_form (uncorrected) = -1544.2 meV/atom

abc: 7.3866 7.3866 8.3850
angles: 98.44 98.44 120.00
Fractional coordinates of all 12 atoms:
Rb  0.0000  0.0000  0.0000
Rb  0.3332  0.6668  0.0000
Rb  0.6668  0.3332  0.0000
Dy  0.1666  0.8334  0.5000
Dy  0.8334  0.1666  0.5000
U  0.5000  0.5000  0.5000
Se  0.0975  0.4344  0.3032
Se  0.2287  0.2287  0.6969
Se  0.4344  0.0975  0.3032
Se  0.5656  0.9025  0.6968
Se  0.7713  0.7713  0.3031
Se  0.9025  0.5656  0.6968

=====

Here is a relaxed structure of PmPuInSi from Alexandria. Energies are from PBE-GGA.

Results
V = 100 Å³/f.u.
Density of states at the Fermi level = 2.495 states/eV per atom
M_tot = 23.135 μB/cell
E_form (uncorrected) = -234.0 meV/atom

abc: 7.3749 7.3749 7.3749
angles: 90.00 90.00 90.00
Fractional coordinates of all 16 atoms:
Pm  0.0000  0.0000  0.0000
Pm  0.0000  0.5000  0.5000
Pm  0.5000  0.0000  0.5000
Pm  0.5000  0.5000  0.0000
Pu  0.0000  0.0000  0.5000
Pu  0.0000  0.5000  0.0000
Pu  0.5000  0.0000  0.0000
Pu  0.5000  0.5000  0.5000
In  0.2500  0.2500  0.7500
In  0.2500  0.7500  0.2500
In  0.7500  0.2500  0.2500
In  0.7500  0.7500  0.7500
Si  0.2500  0.2500  0.2500
Si  0.2500  0.7500  0.7500
Si  0.7500  0.2500  0.7500
Si  0.7500  0.7500  0.2500

=====

Here is a relaxed structure of ThInH from Alexandria. Energies are from PBE-GGA.

Results
V = 60 Å³/f.u.
Density of states at the Fermi level = 0.264 states/eV per atom
M_tot = 0.000 μB/cell
Energy above the most stable polymorph in this dataset = 0.0 meV/atom

abc: 4.3506 4.4772 6.5035
angles: 90.00 109.48 90.00
Fractional coordinates of all 6 atoms:
Th  0.1583  0.2500  0.3164
Th  0.8417  0.7500  0.6836
In  0.4289  0.2500  0.8601
In  0.5711  0.7500  0.1399
H  0.2526  0.7500  0.5023
H  0.7474  0.2500  0.4977

=====

Here is a relaxed structure of OsPb2O6 from Alexandria. Energies are from PBE-GGA.

Results
V = 141 Å³/f.u.
Density of states at the Fermi level = 0.147 states/eV per atom
M_tot = 0.000 μB/cell
E_form (uncorrected) = -1003.4 meV/atom
Energy above the most stable polymorph in this dataset = 37.8 meV/atom

abc: 5.2144 5.2144 10.3996
angles: 90.00 90.00 90.00
Fractional coordinates of all 18 atoms:
Os  0.0000  0.0000  0.0000
Os  0.5000  0.5000  0.5000
Pb  0.0000  0.0000  0.3312
Pb  0.0000  0.0000  0.6688
Pb  0.5000  0.5000  0.1688
Pb  0.5000  0.5000  0.8312
O  0.1764  0.1764  0.1350
O  0.1764  0.1764  0.8650
O  0.2475  0.2475  0.5000
O  0.2525  0.7475  0.0000
O  0.3236  0.6764  0.3650
O  0.3236  0.6764  0.6350
O  0.6764  0.3236  0.3650
O  0.6764  0.3236  0.6350
O  0.7475  0.2525  0.0000
O  0.7525  0.7525  0.5000
O  0.8236  0.8236  0.1350
O  0.8236  0.8236  0.8650

=====

Copy entry 10 word for word.
Here is a relaxed structure of ThInH from Alexandria. Energies are from PBE-GGA.

Results
V = 60 Å³/f.u.
Density of states at the Fermi level = 0.264 states/eV per atom
M_tot = 0.000 μB/cell
Energy above the most stable polymorph in this dataset = 0.0 meV/atom

abc: 4.3506 4.4772 6.5035
angles: 90.00 109.48 90.00
Fractional coordinates of all 6 atoms:
Th  0.1583  0.2500  0.3164
Th  0.8417  0.7500  0.6836
In  0.4289  0.2500  0.8601
In  0.5711  0.7500  0.1399
H  0.2526  0.7500  0.5023
H  0.7474  0.2500  0.4977

=====

> M_tot of number 6 (BaCdPb2Au4)?

0.000 μB/cell

=====

> Which formula does entry 4 have?

Cu2Sn8Pt